Entry 1:
KLa2YTa, optimized geometry, DFT GGA-PBEsol; DFT formation energy = 1686 meV per atom; volume = 143.57 Å³/cell; DOS(E_F) = 6.5 states/eV per cell; total DFT energy (no corrections) = -4.55 eV per atom; symmetry = No. 123
1.0
5.273 0.000 0.000
0.000 5.273 0.000
0.000 0.000 5.163
K La Y Ta
1 2 1 1
Direct
0.000 0.000 0.000 K
0.000 0.500 0.000 La
0.500 0.000 0.000 La
0.000 0.000 0.500 Y
0.500 0.500 0.500 Ta

***

Entry 2:
KLa2Tc, optimized geometry, DFT GGA-PBEsol; relative energy among the computed polymorphs = 95 meV/atom; DFT formation energy = 368 meV per atom; volume = 154.92 Å³/cell; DOS(E_F) = 3.1 states/eV per cell; total DFT energy (no corrections) = -5.41 eV per atom; symmetry = No. 99
1.0
3.969 0.000 0.000
0.000 3.969 0.000
0.000 0.000 9.835
K La Tc
1 2 1
Direct
0.000 0.000 0.000 K
0.000 0.000 0.613 La
0.500 0.500 0.343 La
0.500 0.500 0.577 Tc

***

Entry 3:
K2LaTc, optimized geometry, DFT GGA-PBEsol; DFT formation energy = 601 meV per atom; volume = 148.16 Å³/cell; DOS(E_F) = 4.3 states/eV per cell; total DFT energy (no corrections) = -4.12 eV per atom; symmetry = No. 25
1.0
3.496 0.000 0.000
0.000 3.975 0.000
0.000 0.000 10.661
K La Tc
2 1 1
Direct
0.000 0.000 0.000 K
0.500 0.500 0.377 K
0.000 0.000 0.674 La
0.500 0.500 0.738 Tc

***

Entry 4:
KLa2Tc, optimized geometry, DFT GGA-PBEsol; relative energy among the computed polymorphs = 207 meV/atom; DFT formation energy = 481 meV per atom; volume = 126.69 Å³/cell; DOS(E_F) = 3.2 states/eV per cell; total DFT energy (no corrections) = -5.29 eV per atom; symmetry = No. 71
1.0
-1.969 3.246 4.954
1.969 -3.246 4.954
1.969 3.246 -4.954
K La Tc
1 2 1
Direct
0.000 0.000 0.000 K
0.319 0.819 0.500 La
0.681 0.181 0.500 La
0.500 0.500 0.000 Tc

***

Entry 5:
KLa2Tc, optimized geometry, DFT GGA-PBEsol; relative energy among the computed polymorphs = 534 meV/atom; DFT formation energy = 808 meV per atom; volume = 105.61 Å³/cell; DOS(E_F) = 4.5 states/eV per cell; total DFT energy (no corrections) = -4.97 eV per atom; symmetry = No. 123
1.0
5.094 0.000 0.000
0.000 5.094 0.000
0.000 0.000 4.070
K La Tc
1 2 1
Direct
0.000 0.000 0.000 K
0.000 0.500 0.500 La
0.500 0.000 0.500 La
0.500 0.500 0.000 Tc

***

Entry 6:
KLaTc2, optimized geometry, DFT GGA-PBEsol; relative energy among the computed polymorphs = 348 meV/atom; DFT formation energy = 1216 meV per atom; volume = 78.33 Å³/cell; DOS(E_F) = 3.2 states/eV per cell; total DFT energy (no corrections) = -6.04 eV per atom; symmetry = No. 139
1.0
-1.935 1.935 5.232
1.935 -1.935 5.232
1.935 1.935 -5.232
K La Tc
1 1 2
Direct
0.000 0.000 0.000 K
0.500 0.500 0.000 La
0.250 0.750 0.500 Tc
0.750 0.250 0.500 Tc

***

Entry 7:
KLaTc2, optimized geometry, DFT GGA-PBEsol; relative energy among the computed polymorphs = 0 meV/atom; DFT formation energy = 868 meV per atom; volume = 110.91 Å³/cell; DOS(E_F) = 3.6 states/eV per cell; total DFT energy (no corrections) = -6.38 eV per atom; symmetry = No. 47
1.0
3.081 0.000 0.000
0.000 4.957 0.000
0.000 0.000 7.262
K La Tc
1 1 2
Direct
0.000 0.000 0.000 K
0.000 0.000 0.500 La
0.500 0.500 0.353 Tc
0.500 0.500 0.647 Tc

***

Entry 8:
KLa2Tc, optimized geometry, DFT GGA-PBEsol; relative energy among the computed polymorphs = 0 meV/atom; DFT formation energy = 273 meV per atom; volume = 151.17 Å³/cell; DOS(E_F) = 4.0 states/eV per cell; total DFT energy (no corrections) = -5.50 eV per atom; symmetry = No. 12
1.0
3.587 -2.067 0.000
3.587 2.067 0.000
-2.315 0.000 10.194
K La Tc
1 2 1
Direct
0.000 0.000 0.000 K
0.213 0.213 0.644 La
0.787 0.787 0.356 La
0.500 0.500 0.500 Tc

***

Entry 9:
KLaTc, optimized geometry, DFT GGA-PBEsol; DFT formation energy = 769 meV per atom; volume = 91.31 Å³/cell; DOS(E_F) = 4.3 states/eV per cell; total DFT energy (no corrections) = -5.15 eV per atom; symmetry = No. 107
1.0
-1.816 1.816 6.922
1.816 -1.816 6.922
1.816 1.816 -6.922
K La Tc
1 1 1
Direct
0.000 0.000 0.000 K
0.743 0.743 0.000 La
0.309 0.309 0.000 Tc

***

Entry 10:
KLa2Tc, optimized geometry, DFT GGA-PBEsol; relative energy among the computed polymorphs = 57 meV/atom; DFT formation energy = 331 meV per atom; volume = 149.17 Å³/cell; DOS(E_F) = 3.8 states/eV per cell; total DFT energy (no corrections) = -5.44 eV per atom; symmetry = No. 6
1.0
4.362 0.000 0.000
0.000 3.708 0.000
-2.185 0.000 9.223
K La Tc
1 2 1
Direct
0.000 0.000 0.000 K
0.322 0.000 0.647 La
0.681 0.500 0.364 La
0.806 0.500 0.615 Tc

***

Entry 11:
KLa2Te, optimized geometry, DFT GGA-PBEsol; volume = 158.59 Å³/cell; DOS(E_F) = 6.2 states/eV per cell; total DFT energy (no corrections) = -4.38 eV per atom; symmetry = No. 6
1.0
4.164 0.000 0.000
0.000 4.164 0.000
-0.012 0.000 9.147
K La Te
1 2 1
Direct
0.000 0.000 0.000 K
0.001 0.000 0.590 La
0.501 0.500 0.362 La
0.502 0.500 0.726 Te

***

Entry 12:
KLaTl2, optimized geometry, DFT GGA-PBEsol; DFT formation energy = -246 meV per atom; volume = 131.16 Å³/cell; DOS(E_F) = 2.5 states/eV per cell; total DFT energy (no corrections) = -3.18 eV per atom; symmetry = No. 123
1.0
3.892 0.000 0.000
0.000 3.892 0.000
0.000 0.000 8.659
K La Tl
1 1 2
Direct
0.000 0.000 0.000 K
0.000 0.000 0.500 La
0.500 0.500 0.283 Tl
0.500 0.500 0.717 Tl

***

Entry 13:
KLaTl2, optimized geometry, DFT GGA-PBEsol; DFT formation energy = -125 meV per atom; volume = 124.96 Å³/cell; DOS(E_F) = 3.4 states/eV per cell; total DFT energy (no corrections) = -3.06 eV per atom; symmetry = No. 8
1.0
6.401 -1.784 0.000
6.401 1.784 0.000
-1.916 0.000 5.471
K La Tl
1 1 2
Direct
0.000 0.000 0.000 K
0.204 0.204 0.643 La
0.458 0.458 0.476 Tl
0.755 0.755 0.180 Tl

***

Entry 14:
KLaTl2, optimized geometry, DFT GGA-PBEsol; DFT formation energy = -212 meV per atom; volume = 124.87 Å³/cell; DOS(E_F) = 3.0 states/eV per cell; total DFT energy (no corrections) = -3.15 eV per atom; symmetry = No. 25
1.0
3.804 0.000 0.000
0.000 5.729 0.000
0.000 0.000 5.729
K La Tl
1 1 2
Direct
0.000 0.000 0.000 K
0.000 0.500 0.502 La
0.500 0.000 0.500 Tl
0.500 0.500 0.003 Tl

***

Entry 15:
KLa2W, optimized geometry, DFT GGA-PBEsol; relative energy among the computed polymorphs = 214 meV/atom; DFT formation energy = 1118 meV per atom; volume = 105.93 Å³/cell; DOS(E_F) = 5.3 states/eV per cell; total DFT energy (no corrections) = -5.29 eV per atom; symmetry = No. 12
1.0
3.663 -5.074 0.000
3.663 5.074 0.000
-0.898 0.000 2.850
K La W
1 2 1
Direct
0.000 0.000 0.000 K
0.000 0.500 0.500 La
0.500 0.000 0.500 La
0.500 0.500 0.000 W

***

Entry 16:
KLaW, optimized geometry, DFT GGA-PBEsol; relative energy among the computed polymorphs = 76 meV/atom; DFT formation energy = 1201 meV per atom; volume = 75.89 Å³/cell; DOS(E_F) = 4.1 states/eV per cell; total DFT energy (no corrections) = -5.56 eV per atom; symmetry = No. 156
1.0
3.041 0.000 0.000
-1.520 2.633 0.000
0.000 0.000 9.478
K La W
1 1 1
Direct
0.000 0.000 0.000 K
0.333 0.667 0.595 La
0.667 0.333 0.312 W